Record 1
Material: SrAg2As2
Method: DFT, PBE
State: relaxed

Cell lengths 8.147, 8.147, 3.303 Å; angles 90.00, 90.00, 90.00 degrees
Fractional coordinates of all 10 atoms:
Sr  0.000  0.000  0.000
Sr  0.500  0.500  0.000
As  0.184  0.684  0.500
As  0.684  0.816  0.500
As  0.816  0.316  0.500
As  0.316  0.184  0.500
Ag  0.380  0.880  0.000
Ag  0.880  0.620  0.000
Ag  0.620  0.120  0.000
Ag  0.120  0.380  0.000

## Properties
For the final energy, the calculation gives -3.54 eV per atom. The formation enthalpy at 0 K is -0.20 eV per atom. As for the space group: P4/mbm (127).

=====

Record 2
Material: SrAgAs
Method: DFT, PBE
State: relaxed

Cell lengths 6.278, 6.280, 4.547 Å; angles 68.82, 68.81, 85.30 degrees
Fractional coordinates of all 6 atoms:
Sr  0.754  0.018  0.089
Sr  0.254  0.519  0.089
As  0.167  0.931  0.425
As  0.842  0.606  0.753
Ag  0.675  0.439  0.420
Ag  0.333  0.099  0.758

## Properties
For the final energy, the calculation gives -3.72 eV per atom. The formation enthalpy at 0 K is -0.66 eV per atom. As for the space group: P-1 (2).

=====

Record 3
Material: SrAg2As
Method: DFT, PBE
State: relaxed

Cell lengths 4.693, 4.693, 5.808 Å; angles 65.85, 65.85, 60.44 degrees
Fractional coordinates of all 4 atoms:
Sr  0.245  0.245  0.266
As  0.458  0.458  0.623
Ag  0.034  0.034  0.901
Ag  0.763  0.763  0.710

## Properties
For the final energy, the calculation gives -3.34 eV per atom. The formation enthalpy at 0 K is -0.33 eV per atom. As for the space group: Cm (8).

=====

Record 4
Material: SrAg3As
Method: DFT, PBE
State: relaxed

Cell lengths 5.558, 5.558, 5.558 Å; angles 90.00, 90.00, 90.00 degrees
Fractional coordinates of all 5 atoms:
Sr  0.000  0.000  0.000
As  0.500  0.500  0.500
Ag  0.000  0.500  0.000
Ag  0.000  0.000  0.500
Ag  0.500  0.000  0.000

## Properties
For the final energy, the calculation gives -1.75 eV per atom. The formation enthalpy at 0 K is 1.22 eV per atom. As for the space group: Pm-3m (221).